Here is an optimized crystal structure of Ho2Bi from Alexandria. Energies are from GGA-PBE.

a = 4.536 Å, b = 4.536 Å, c = 8.561 Å
α = 90.00°, β = 90.00°, γ = 90.00°
Atoms (fractional coordinates):
Ho 0.250 0.250 0.156
Ho 0.250 0.750 0.500
Ho 0.750 0.250 0.500
Ho 0.750 0.750 0.844
Bi 0.250 0.250 0.785
Bi 0.750 0.750 0.215

Computed properties:
The formation energy comes out at -0.574 eV/atom. As for the crystal system: tetragonal. Its electronic total energy is -0.1808 Ha/atom.